# Ca2PaPt3

Ca2PaPt3 after structural relaxation (PBE, Alexandria).

Results
For the energy of formation, the calculation gives -0.844 eV/atom. The calculation puts the polymorph energy (0 for the lowest one) at 112 meV/atom.

abc: 13.5737 5.7690 7.8767
angles: 90.00 106.93 90.00
Space group C2/c (No. 15)
Asymmetric unit:
1 Ca 0.1678 0.0013 0.0840 [8 per cell]
2 Pa 0.0000 0.4988 0.2500 [4 per cell]
3 Pt 0.0000 0.0010 0.7500 [4 per cell]
4 Pt 0.1478 0.4987 0.5740 [8 per cell]



# Nd2USiRh6

Nd2USiRh6 after structural relaxation (PBE, Alexandria).

Results
For the total energy, the calculation gives -76.07 eV/f.u.

abc: 6.3204 6.3487 6.9003
angles: 89.71 62.94 60.16
Space group P-1 (No. 2)
Asymmetric unit:
1 Nd 0.0372 0.2319 0.1926 [2 per cell]
2 U 0.5000 0.5000 0.0000 [1 per cell]
3 Si 0.5000 0.0000 0.5000 [1 per cell]
4 Rh 0.0078 0.2438 0.6778 [2 per cell]
5 Rh 0.4184 0.3265 0.3330 [2 per cell]
6 Rh 0.4248 0.7568 0.3257 [2 per cell]



# Na4Tm3PuSe8

Na4Tm3PuSe8 after structural relaxation (PBE, Alexandria).

Results
For the total energy, the calculation gives -86.72 eV/f.u.

abc: 8.2609 8.2609 20.9601
angles: 90.00 90.00 120.00
Space group R-3m (No. 166, hexagonal axes)
Asymmetric unit:
1 Na 0.0000 0.0000 0.0000 [3 per cell]
2 Na 0.0000 0.5000 0.0000 [9 per cell]
3 Tm 0.0000 0.5000 0.5000 [9 per cell]
4 Pu 0.0000 0.0000 0.5000 [3 per cell]
5 Se 0.0000 0.0000 0.2422 [6 per cell]
6 Se 0.0064 0.5032 0.7573 [18 per cell]



# Nd5Si2Pb

Nd5Si2Pb after structural relaxation (PBE, Alexandria).

Results
For the total energy, the calculation gives -43.10 eV/f.u.

abc: 7.9421 7.9421 14.6313
angles: 90.00 90.00 90.00
Space group I4/mcm (No. 140)
Asymmetric unit:
1 Nd 0.0000 0.0000 0.0000 [4 per cell]
2 Nd 0.1724 0.3276 0.1377 [16 per cell]
3 Si 0.1204 0.3796 0.5000 [8 per cell]
4 Pb 0.0000 0.0000 0.2500 [4 per cell]



# PPd11S2

PPd11S2 after structural relaxation (PBE, Alexandria).

Results
For the total energy, the calculation gives -72.01 eV/f.u.

abc: 8.6823 10.7883 10.7359
angles: 90.00 90.00 90.00
Space group Ibam (No. 72)
Asymmetric unit:
1 P 0.0000 0.0000 0.2500 [4 per cell]
2 Pd 0.0000 0.5000 0.0000 [4 per cell]
3 Pd 0.1288 0.2001 0.1799 [16 per cell]
4 Pd 0.1307 0.2733 0.5000 [8 per cell]
5 Pd 0.2143 0.0411 0.3728 [16 per cell]
6 S 0.1302 0.3171 0.0000 [8 per cell]



# SrLa2Cl

SrLa2Cl after structural relaxation (PBE, Alexandria).

Results
The calculation puts the polymorph energy (0 for the lowest one) at 412 meV/atom.

abc: 3.8036 6.1494 6.5936
angles: 90.00 90.00 90.00
Space group Pmmm (No. 47)
Asymmetric unit:
1 Sr 0.0000 0.0000 0.0000 [1 per cell]
2 La 0.5000 0.2412 0.5000 [2 per cell]
3 Cl 0.0000 0.5000 0.0000 [1 per cell]



# LiNb2I

LiNb2I after structural relaxation (PBE, Alexandria).

Results
The calculation puts the polymorph energy (0 for the lowest one) at 0 meV/atom.

abc: 3.8949 3.8949 21.1690
angles: 90.00 90.00 90.00
Space group I-42d (No. 122)
Asymmetric unit:
1 Li 0.0000 0.0000 0.0000 [4 per cell]
2 Nb 0.2485 0.2500 0.1250 [8 per cell]
3 I 0.0000 0.0000 0.5000 [4 per cell]



# Hg4AsBrCl2

Hg4AsBrCl2 after structural relaxation (PBE, Alexandria).

Results
For the total energy, the calculation gives -12.89 eV/f.u.

abc: 11.2138 14.5747 8.0116
angles: 90.00 134.11 90.00
Space group C2/c (No. 15)
Asymmetric unit:
1 Hg 0.0007 0.1892 0.4924 [8 per cell]
2 Hg 0.2410 0.0020 0.9874 [8 per cell]
3 As 0.0000 0.0000 0.0000 [4 per cell]
4 Br 0.2500 0.2500 0.0000 [4 per cell]
5 Cl 0.0000 0.5000 0.0000 [4 per cell]
6 Cl 0.2500 0.2500 0.5000 [4 per cell]



# HfTlTe2

HfTlTe2 after structural relaxation (PBE, Alexandria).

Results
For the total energy, the calculation gives -21.00 eV/f.u.

abc: 9.0286 3.9414 6.8277
angles: 90.00 90.00 90.00
Space group Amm2 (No. 38)
Asymmetric unit:
1 Hf 0.0000 0.0000 0.0000 [2 per cell]
2 Tl 0.5000 0.0000 0.9992 [2 per cell]
3 Te 0.2017 0.0000 0.6667 [4 per cell]



# ScAl3Si

ScAl3Si after structural relaxation (PBE, Alexandria).

Results
The calculation puts the polymorph energy (0 for the lowest one) at 0 meV/atom.

abc: 4.7597 4.7597 4.7597
angles: 90.00 90.00 90.00
Space group Pm-3m (No. 221)
Asymmetric unit:
1 Sc 0.0000 0.0000 0.0000 [1 per cell]
2 Al 0.0000 0.5000 0.5000 [3 per cell]
3 Si 0.5000 0.5000 0.5000 [1 per cell]



# CdOs2Ru

CdOs2Ru after structural relaxation (PBE, Alexandria).

Results
For the energy of formation, the calculation gives 0.482 eV/atom.

abc: 9.4162 2.7823 4.8174
angles: 90.00 100.62 90.00
Space group C2/m (No. 12)
Asymmetric unit:
1 Cd 0.0000 0.0000 0.0000 [2 per cell]
2 Os 0.2346 0.0000 0.7253 [4 per cell]
3 Ru 0.0000 0.5000 0.5000 [2 per cell]



# ScInHg2

ScInHg2 after structural relaxation (PBE, Alexandria).

Results
For the energy of formation, the calculation gives -0.255 eV/atom.

abc: 4.4741 4.4741 4.4656
angles: 90.00 90.00 90.00
Space group P4/mmm (No. 123)
Asymmetric unit:
1 Sc 0.0000 0.0000 0.0000 [1 per cell]
2 In 0.5000 0.5000 0.0000 [1 per cell]
3 Hg 0.0000 0.5000 0.5000 [2 per cell]



# ReMoPt2

ReMoPt2 after structural relaxation (PBE, Alexandria).

Results
For the energy of formation, the calculation gives -0.006 eV/atom. The calculation puts the polymorph energy (0 for the lowest one) at 149 meV/atom.

abc: 3.3192 3.3192 5.6672
angles: 90.00 90.00 90.00
Space group P4mm (No. 99)
Asymmetric unit:
1 Re 0.0000 0.0000 0.0000 [1 per cell]
2 Mo 0.5000 0.5000 0.2469 [1 per cell]
3 Pt 0.0000 0.0000 0.5024 [1 per cell]
4 Pt 0.5000 0.5000 0.7491 [1 per cell]



# CaTeOF2

CaTeOF2 after structural relaxation (PBE, Alexandria).

Results
The calculation puts the polymorph energy (0 for the lowest one) at 412 meV/atom.

abc: 4.1112 4.1112 6.6852
angles: 90.00 90.00 90.00
Space group P4/mmm (No. 123)
Asymmetric unit:
1 Ca 0.0000 0.0000 0.0000 [1 per cell]
2 Te 0.0000 0.0000 0.5000 [1 per cell]
3 O 0.5000 0.5000 0.0000 [1 per cell]
4 F 0.0000 0.5000 0.5000 [2 per cell]



# Hf2Pd7Au2

Hf2Pd7Au2 after structural relaxation (PBE, Alexandria).

Results
For the energy of formation, the calculation gives -0.002 eV/atom.

abc: 7.6130 7.8916 7.3589
angles: 90.00 90.00 90.00
Space group Cmmm (No. 65)
Asymmetric unit:
1 Hf 0.2099 0.0000 0.0000 [4 per cell]
2 Pd 0.0000 0.0000 0.5000 [2 per cell]
3 Pd 0.0000 0.5000 0.1860 [4 per cell]
4 Pd 0.2500 0.2500 0.2406 [8 per cell]
5 Au 0.0000 0.3275 0.5000 [4 per cell]



# TbNdOsRh

TbNdOsRh after structural relaxation (PBE, Alexandria).

Results
For the energy of formation, the calculation gives -0.307 eV/atom.

abc: 6.9657 6.9657 6.9657
angles: 90.00 90.00 90.00
Space group F-43m (No. 216)
Asymmetric unit:
1 Tb 0.0000 0.0000 0.0000 [4 per cell]
2 Nd 0.0000 0.0000 0.5000 [4 per cell]
3 Os 0.2500 0.2500 0.7500 [4 per cell]
4 Rh 0.2500 0.2500 0.2500 [4 per cell]



# CaRu2

CaRu2 after structural relaxation (PBE, Alexandria).

Results
For the energy of formation, the calculation gives 0.374 eV/atom.

abc: 5.3317 4.0928 10.9950
angles: 90.00 90.00 90.00
Space group Pnma (No. 62)
Asymmetric unit:
1 Ca 0.1088 0.2500 0.1300 [4 per cell]
2 Ru 0.1018 0.7500 0.3237 [4 per cell]
3 Ru 0.1028 0.2500 0.4448 [4 per cell]



# Rb2Al7Au12

Rb2Al7Au12 after structural relaxation (PBE, Alexandria).

Results
For the energy of formation, the calculation gives -0.293 eV/atom.

abc: 10.4096 10.4096 4.5558
angles: 90.00 90.00 120.00
Space group P-3 (No. 147)
Asymmetric unit:
1 Rb 0.3333 0.6667 0.2632 [2 per cell]
2 Al 0.0000 0.0000 0.0000 [1 per cell]
3 Al 0.1000 0.3806 0.7835 [6 per cell]
4 Au 0.0634 0.6121 0.7480 [6 per cell]
5 Au 0.1231 0.2552 0.2866 [6 per cell]



# La2TbH

La2TbH after structural relaxation (PBE, Alexandria).

Results
The calculation puts the polymorph energy (0 for the lowest one) at 6 meV/atom.

abc: 3.7321 3.7321 26.8734
angles: 90.00 90.00 120.00
Space group R-3m (No. 166, hexagonal axes)
Asymmetric unit:
1 La 0.0000 0.0000 0.2232 [6 per cell]
2 Tb 0.0000 0.0000 0.0000 [3 per cell]
3 H 0.0000 0.0000 0.5000 [3 per cell]



# NdHo8Sc3

NdHo8Sc3 after structural relaxation (PBE, Alexandria).

Results
For the energy of formation, the calculation gives 0.679 eV/atom.

abc: 8.4032 8.4032 11.5153
angles: 90.00 90.00 90.00
Space group I-42m (No. 121)
Asymmetric unit:
1 Nd 0.0000 0.0000 0.0000 [2 per cell]
2 Ho 0.1339 0.1339 0.2692 [8 per cell]
3 Ho 0.2325 0.2325 0.5369 [8 per cell]
4 Sc 0.0000 0.0000 0.5000 [2 per cell]
5 Sc 0.0000 0.5000 0.2500 [4 per cell]



# Li4Al3Pd2

Li4Al3Pd2 after structural relaxation (PBE, Alexandria).

Results
For the energy of formation, the calculation gives -0.522 eV/atom.

abc: 9.4664 4.2460 8.0515
angles: 90.00 125.94 90.00
Space group C2/m (No. 12)
Asymmetric unit:
1 Li 0.1515 0.0000 0.1615 [4 per cell]
2 Li 0.2225 0.5000 0.3834 [4 per cell]
3 Al 0.0000 0.5000 0.5000 [2 per cell]
4 Al 0.1205 0.5000 0.9375 [4 per cell]
5 Pd 0.0645 0.0000 0.7225 [4 per cell]



# PuNiRu

PuNiRu after structural relaxation (PBE, Alexandria).

Results
For the energy of formation, the calculation gives -0.227 eV/atom. The calculation puts the polymorph energy (0 for the lowest one) at 0 meV/atom.

abc: 4.8818 5.3612 7.4848
angles: 90.00 90.00 90.00
Space group Imma (No. 74)
Asymmetric unit:
1 Pu 0.0000 0.2500 0.1238 [4 per cell]
2 Ni 0.2500 0.2500 0.7500 [4 per cell]
3 Ru 0.0000 0.0000 0.5000 [4 per cell]